No. 1
A geometry-optimized CsBSb2I structure, computed with PBE.

a b c (Å): 7.4226 7.4226 7.7582
angles (deg): 90.00 90.00 90.00
Last column: magnetic moment on the atom in μB.
Sites, in units of the cell vectors:
Sb: 0.0000 0.5000 0.0000  1.00
Sb: 0.5000 0.0000 0.0000  1.00
Cs: 0.0000 0.0000 0.0000  0.07
I: 0.0000 0.0000 0.5000  0.07
B: 0.5000 0.5000 0.5000  0.33

Calculated volume   427.4 Å³/cell
E_form (uncorrected)   1.866 eV per atom
Final energy   -1.60 eV/atom
ΔE to the lowest computed polymorph   735 kJ/mol of formula units

No. 2
A geometry-optimized RbNbSn2W structure, computed with PBE.

a b c (Å): 5.4558 4.8616 5.4558
angles (deg): 90.00 90.00 90.00
Last column: magnetic moment on the atom in μB.
Sites, in units of the cell vectors:
Rb: 0.0000 0.0000 0.0000  0.01
Sn: 0.5000 0.0000 0.0000  -0.05
Sn: 0.0000 0.0000 0.5000  -0.02
Nb: 0.5000 0.5000 0.5000  0.18
W: 0.0000 0.5000 0.0000  1.18

Calculated volume   144.7 Å³/cell
Energy of formation from the pure elements   3.014 eV per atom
Final energy   -3.39 eV/atom

No. 3
A geometry-optimized Sm5Y2Ho structure, computed with PBE.

a b c (Å): 6.6586 9.0145 10.9720
angles (deg): 100.48 60.22 111.79
Sites, in units of the cell vectors:
Sm: 0.8746 0.0161 0.1633
Sm: 0.1254 0.9839 0.8367
Sm: 0.5816 0.2138 0.9508
Sm: 0.6287 0.2143 0.5509
Sm: 0.3713 0.7857 0.4491
Sm: 0.8608 0.9863 0.6636
Sm: 0.3563 0.7095 0.7490
Sm: 0.6437 0.2905 0.2510
Sm: 0.1392 0.0137 0.3364
Sm: 0.4184 0.7862 0.0492
Ho: 0.2076 0.4157 0.2499
Ho: 0.7924 0.5843 0.7501
Y: 0.1764 0.3739 0.9234
Y: 0.1964 0.3756 0.5768
Y: 0.8036 0.6244 0.4232
Y: 0.8236 0.6261 0.0766

Calculated volume   530.7 Å³/cell
Energy of formation from the pure elements   0.123 eV per atom
Final energy   -5.01 eV/atom
ΔE to the lowest computed polymorph   0 kJ/mol of formula units

No. 4
A geometry-optimized Tb5NpRu6 structure, computed with PBE.

a b c (Å): 4.8820 6.8516 8.2603
angles (deg): 65.50 72.83 90.00
Last column: magnetic moment on the atom in μB.
Sites, in units of the cell vectors:
Tb: 0.3267 0.8265 0.3470  0.01
Tb: 0.3361 0.3363 0.3274  0.04
Tb: 0.6733 0.1735 0.6530  0.01
Tb: 0.6639 0.6637 0.6726  0.04
Tb: 0.0000 0.5000 0.0000  0.01
Ru: 0.5000 0.7724 0.0000  -0.20
Ru: 0.8473 0.6185 0.3058  -0.16
Ru: 0.1527 0.9243 0.6943  -0.16
Ru: 0.5000 0.2276 0.0000  -0.20
Ru: 0.1527 0.3815 0.6942  -0.16
Ru: 0.8473 0.0757 0.3057  -0.16
Np: 0.0000 0.0000 0.0000  2.14

Calculated volume   237.8 Å³/cell
Energy of formation from the pure elements   -0.306 eV per atom
Final energy   -7.95 eV/atom

No. 5
A geometry-optimized TaCdTe2 structure, computed with PBE.

a b c (Å): 5.7051 5.7051 7.6238
angles (deg): 67.24 67.24 35.98
Sites, in units of the cell vectors:
Te: 0.9272 0.9272 0.1019
Te: 0.7698 0.7698 0.6492
Ta: 0.2631 0.2631 0.3752
Cd: 0.5399 0.5399 0.3738

Calculated volume   133.2 Å³/cell
E_form (uncorrected)   0.032 eV per atom
Final energy   -4.73 eV/atom

No. 6
A geometry-optimized ZrNb3C4 structure, computed with PBE.

a b c (Å): 3.2199 5.5839 5.5839
angles (deg): 70.31 90.00 90.00
Sites, in units of the cell vectors:
C: 0.0000 0.2432 0.2569
C: 0.5000 0.7535 0.2533
C: 0.0000 0.7570 0.7431
C: 0.4999 0.2467 0.7466
Zr: 0.5000 0.5001 0.0000
Nb: 0.9999 0.0001 0.0000
Nb: 0.5000 0.0001 0.5000
Nb: 0.0000 0.5001 0.5000

Calculated volume   94.5 Å³/cell
Energy of formation from the pure elements   -0.568 eV per atom
Final energy   -10.02 eV/atom
ΔE to the lowest computed polymorph   0 kJ/mol of formula units

No. 7
A geometry-optimized TmUAsN2 structure, computed with PBE.

a b c (Å): 3.8040 3.8040 6.4559
angles (deg): 107.13 107.13 90.00
Sites, in units of the cell vectors:
As: 0.5088 0.5088 0.0176
N: 0.7426 0.2426 0.4853
N: 0.2426 0.7426 0.4853
U: 0.1590 0.1590 0.3179
Tm: 0.8469 0.8469 0.6939

Calculated volume   84.9 Å³/cell
E_form (uncorrected)   -1.362 eV per atom
Final energy   -8.77 eV/atom

No. 8
A geometry-optimized CaZrSc2 structure, computed with PBE.

a b c (Å): 4.4959 4.4959 11.3979
angles (deg): 78.63 78.63 90.00
Last column: magnetic moment on the atom in μB.
Sites, in units of the cell vectors:
Zr: 0.0000 0.0000 0.0000  0.50
Zr: 0.7500 0.2500 0.5000  0.51
Sc: 0.8750 0.3520 0.7500  0.22
Sc: 0.6480 0.6250 0.2500  0.23
Sc: 0.3750 0.8980 0.7500  0.23
Sc: 0.1020 0.1250 0.2500  0.23
Ca: 0.5000 0.5000 0.0000  0.09
Ca: 0.2500 0.7500 0.5000  0.09

Calculated volume   221.2 Å³/cell
Energy of formation from the pure elements   0.643 eV per atom
Final energy   -5.16 eV/atom
ΔE to the lowest computed polymorph   209 kJ/mol of formula units

No. 9
A geometry-optimized Li3Pa3PtS8 structure, computed with PBE.

a b c (Å): 7.6656 7.5284 7.6713
angles (deg): 119.26 90.00 120.60
Last column: magnetic moment on the atom in μB.
Sites, in units of the cell vectors:
S: 0.7697 0.5394 0.2643  -0.02
S: 0.7578 0.5156 0.7658  -0.03
S: 0.2303 0.4606 0.7357  -0.02
S: 0.7506 0.0034 0.7533  -0.02
S: 0.2422 0.4844 0.2342  -0.03
S: 0.2494 0.9966 0.2467  -0.02
S: 0.7472 0.9966 0.2467  -0.02
S: 0.2528 0.0034 0.7533  -0.02
Pa: 0.5000 0.0000 0.5000  0.97
Pa: 0.5000 0.5000 0.5000  0.95
Pa: 0.0000 0.5000 0.5000  0.95
Li: 0.0000 0.0000 0.0000  0.00
Li: 0.5000 0.5000 0.0000  0.00
Li: 0.0000 0.5000 0.0000  0.00
Pt: 0.0000 0.0000 0.5000  0.03

Calculated volume   313.6 Å³/cell
E_form (uncorrected)   -1.251 eV per atom
Final energy   -6.14 eV/atom

No. 10
A geometry-optimized LaGaAg structure, computed with PBE.

a b c (Å): 4.7491 6.1431 5.8771
angles (deg): 79.45 66.17 67.26
Sites, in units of the cell vectors:
Ag: 0.1748 0.7759 0.8745
Ag: 0.8252 0.2241 0.1255
La: 0.4692 0.7900 0.2717
La: 0.5308 0.2100 0.7283
Ga: 0.8427 0.6107 0.7038
Ga: 0.1573 0.3893 0.2962

Calculated volume   144.6 Å³/cell
Energy of formation from the pure elements   -0.490 eV per atom
Final energy   -4.09 eV/atom

No. 11
A geometry-optimized Ce3Sm2N4 structure, computed with PBE.

a b c (Å): 3.5649 6.2539 8.0249
angles (deg): 75.70 77.17 73.44
Last column: magnetic moment on the atom in μB.
Sites, in units of the cell vectors:
N: 0.2023 0.8954 0.7001  -0.01
N: 0.3961 0.3019 0.9060  -0.01
N: 0.7977 0.1046 0.2999  -0.01
N: 0.6039 0.6981 0.0940  -0.01
Sm: 0.6067 0.1752 0.6114  0.06
Sm: 0.3933 0.8248 0.3886  0.06
Ce: 0.7947 0.6020 0.8087  0.31
Ce: 0.2053 0.3980 0.1913  0.31
Ce: 0.0000 0.0000 0.0000  0.15

Calculated volume   163.9 Å³/cell
E_form (uncorrected)   -1.298 eV per atom
Final energy   -8.02 eV/atom
ΔE to the lowest computed polymorph   0 kJ/mol of formula units

No. 12
A geometry-optimized Be2CoRh2 structure, computed with PBE.

a b c (Å): 6.4949 6.4949 2.7760
angles (deg): 90.00 90.00 90.00
Last column: magnetic moment on the atom in μB.
Sites, in units of the cell vectors:
Rh: 0.3527 0.8527 0.0000  0.28
Rh: 0.8527 0.6473 0.0000  0.26
Rh: 0.6473 0.1473 0.0000  0.28
Rh: 0.1473 0.3527 0.0000  0.26
Be: 0.3500 0.1500 0.5000  -0.01
Be: 0.6500 0.8500 0.5000  -0.01
Be: 0.8500 0.3500 0.5000  -0.01
Be: 0.1500 0.6500 0.5000  -0.01
Co: 0.5000 0.5000 0.0000  2.00
Co: 0.0000 0.0000 0.0000  2.00

Calculated volume   117.1 Å³/cell
Energy of formation from the pure elements   -0.151 eV per atom
Final energy   -6.00 eV/atom
ΔE to the lowest computed polymorph   113 kJ/mol of formula units

Values for calculated density, g cm⁻³, ordered as above
1.997, 6.881, 6.849, 11.437, 6.840, 7.343, 9.970, 3.321, 6.171, 7.270, 7.871, 8.020